*P*
TaBe3Br | PBE | relaxed

The space group is Pm-3m (No. 221) and the conventional cell measures 4.778, 4.778 and 4.778 Å, with angles of 90.00, 90.00 and 90.00 degrees. Symmetry generates all atoms from Ta at (0.000, 0.000, 0.000), Be at (0.000, 0.000, 0.500) and Br at (0.500, 0.500, 0.500).


*Q*
TaBe3Br | PBE | relaxed

The space group is Pm-3m (No. 221) and the conventional cell measures 4.243, 4.243 and 4.243 Å, with angles of 90.00, 90.00 and 90.00 degrees. Symmetry generates all atoms from Ta at (0.000, 0.000, 0.000), Be at (0.000, 0.500, 0.500) and Br at (0.500, 0.500, 0.500).


Which of them is the least stable? Correct choice: *P*.


*P*
Be2TcBr | PBE | relaxed

The space group is I-42d (No. 122) and the conventional cell measures 6.439, 6.439 and 5.342 Å, with angles of 90.00, 90.00 and 90.00 degrees. Symmetry generates all atoms from Be at (0.245, 0.250, 0.125), Tc at (0.000, 0.000, 0.500) and Br at (0.000, 0.000, 0.000).


*Q*
Be2TcBr | PBE | relaxed

The space group is Cmmm (No. 65) and the conventional cell measures 3.218, 4.921 and 7.302 Å, with angles of 90.00, 90.00 and 90.00 degrees. Symmetry generates all atoms from Be at (0.000, 0.000, 0.222), Tc at (0.000, 0.500, 0.000) and Br at (0.000, 0.500, 0.500).


*R*
Be2TcBr | PBE | relaxed

The space group is Cm (No. 8) and the conventional cell measures 6.012, 3.470 and 5.744 Å, with angles of 90.00, 90.12 and 90.00 degrees. Symmetry generates all atoms from Be at (0.000, 0.000, 0.000), Be at (0.167, 0.500, 0.052), Tc at (0.334, 0.000, 0.243) and Br at (0.000, 0.000, 0.598).


Which of them is the least stable? Correct choice: *P*.